Np2Mn2Co15 | GGA-PBE | optimized geometry

Properties
Energy of formation: -0.48 eV/f.u.
Total moment: 20.0 μB/f.u.

```
data_Np2Mn2Co15
_chemical_formula_sum 'Np6 Mn6 Co45'
_symmetry_space_group_name_H-M 'R -3 m'
_symmetry_Int_Tables_number 166
_symmetry_space_group_name_Hall '-R 3 2"'
_cell_length_a 8.2820
_cell_length_b 8.2820
_cell_length_c 12.1043
_cell_angle_alpha 90.00
_cell_angle_beta 90.00
_cell_angle_gamma 120.00
loop_
_atom_site_label
_atom_site_type_symbol
_atom_site_fract_x
_atom_site_fract_y
_atom_site_fract_z
_atom_site_occupancy
Np1 Np 0.0000 0.0000 0.1544 1
Mn1 Mn 0.0000 0.0000 0.3940 1
Co1 Co 0.0000 0.2919 0.5000 1
Co2 Co 0.0000 0.5000 0.0000 1
Co3 Co 0.0046 0.5023 0.6494 1
```



CsCu2Sn2 | GGA-PBE | optimized geometry

Properties
Energy of formation: 1.13 eV/f.u.
Total moment: 0.0 μB/f.u.
Energy relative to the lowest polymorph listed for this composition: 0.996 eV per formula unit

```
data_CsCu2Sn2
_chemical_formula_sum 'Cs2 Cu4 Sn4'
_symmetry_space_group_name_H-M 'P 4/m b m'
_symmetry_Int_Tables_number 127
_symmetry_space_group_name_Hall '-P 4 2ab'
_cell_length_a 9.099
_cell_length_b 9.099
_cell_length_c 3.265
_cell_angle_alpha 90.00
_cell_angle_beta 90.00
_cell_angle_gamma 90.00
loop_
_atom_site_label
_atom_site_type_symbol
_atom_site_fract_x
_atom_site_fract_y
_atom_site_fract_z
_atom_site_occupancy
Cs1 Cs 0.000 0.000 0.000 1
Cu1 Cu 0.107 0.393 0.000 1
Sn1 Sn 0.138 0.638 0.500 1
```



Er5MgTe4 | GGA-PBE | optimized geometry

Properties
E: -4.38 eV per atom
Total moment: 0.0 μB/f.u.

```
data_Er5MgTe4
_chemical_formula_sum 'Er10 Mg2 Te8'
_symmetry_space_group_name_H-M 'P m m n'
_symmetry_Int_Tables_number 59
_cell_length_a 9.078
_cell_length_b 9.424
_cell_length_c 7.231
_cell_angle_alpha 90.00
_cell_angle_beta 90.00
_cell_angle_gamma 90.00
loop_
_symmetry_equiv_pos_as_xyz
'x,y,z'
'-x,-y,-z'
'-x+1/2,-y+1/2,z'
'x+1/2,y+1/2,-z'
'x+1/2,-y,-z'
'-x+1/2,y,z'
'-x,y+1/2,-z'
'x,-y+1/2,z'
loop_
_atom_site_label
_atom_site_type_symbol
_atom_site_fract_x
_atom_site_fract_y
_atom_site_fract_z
_atom_site_occupancy
Er1 Er 0.058 0.051 0.244 1
Er2 Er 0.250 0.250 0.879 1
Mg1 Mg 0.250 0.750 0.242 1
Te1 Te 0.020 0.250 0.571 1
Te2 Te 0.250 0.561 0.918 1
```



Listing density for the structures above in their given order: 10.17 6.11 7.36 g/cm³.